# LiSc2Zn SCAN single point on PBEsol structure
data_LiSc2Zn
_chemical_formula_sum 'Li2 Sc4 Zn2'
_space_group_name_H-M_alt 'I m m 2'
_space_group_IT_number 44
_cell_length_a 3.233
_cell_length_b 4.771
_cell_length_c 9.906
_cell_angle_alpha 90.00
_cell_angle_beta 90.00
_cell_angle_gamma 90.00
loop_
_space_group_symop_operation_xyz
'x,y,z'
'-x,-y,z'
'-x,y,z'
'x,-y,z'
'x+1/2,y+1/2,z+1/2'
'-x+1/2,-y+1/2,z+1/2'
'-x+1/2,y+1/2,z+1/2'
'x+1/2,-y+1/2,z+1/2'
loop_
_atom_site_label
_atom_site_fract_x
_atom_site_fract_y
_atom_site_fract_z
Li1 0.000 0.000 0.000
Sc1 0.000 0.000 0.560
Sc2 0.000 0.500 0.779
Zn1 0.000 0.500 0.302
# magnetic moment: 2.663 μB/cell
# E_tot: -11.1950 eV per atom

---

# Ca2ZnPt2 SCAN single point on PBEsol structure
data_Ca2ZnPt2
_chemical_formula_sum 'Ca4 Zn2 Pt4'
_space_group_name_H-M_alt 'I 4/m m m'
_space_group_IT_number 139
_space_group_name_Hall '-I 4 2'
_cell_length_a 3.751
_cell_length_b 3.751
_cell_length_c 16.083
_cell_angle_alpha 90.00
_cell_angle_beta 90.00
_cell_angle_gamma 90.00
loop_
_atom_site_label
_atom_site_fract_x
_atom_site_fract_y
_atom_site_fract_z
Ca1 0.000 0.000 0.113
Zn1 0.000 0.000 0.500
Pt1 0.000 0.500 0.250
# magnetic moment: 0.000 μB/cell
# E_tot: -35.1409 eV per atom

---

# TeOs2Br SCAN single point on PBEsol structure
data_TeOs2Br
_chemical_formula_sum 'Te2 Os4 Br2'
_space_group_name_H-M_alt 'C m m m'
_space_group_IT_number 65
_space_group_name_Hall '-C 2 2'
_cell_length_a 2.954
_cell_length_b 5.262
_cell_length_c 9.006
_cell_angle_alpha 90.00
_cell_angle_beta 90.00
_cell_angle_gamma 90.00
loop_
_atom_site_label
_atom_site_fract_x
_atom_site_fract_y
_atom_site_fract_z
Te1 0.000 0.000 0.000
Os1 0.000 0.500 0.252
Br1 0.000 0.000 0.500
# distance to the lowest polymorph of the same formula: 44.74 kJ/mol of atoms
# magnetic moment: 0.000 μB/cell
# formation energy without anion corrections: 1.5236 eV/atom
# E_tot: -48.5940 eV per atom

---

# MgHg2BiC SCAN single point on PBEsol structure
data_MgHg2BiC
_chemical_formula_sum 'Mg1 Hg2 Bi1 C1'
_space_group_name_H-M_alt 'P 4/m m m'
_space_group_IT_number 123
_space_group_name_Hall '-P 4 2'
_cell_length_a 5.172
_cell_length_b 5.172
_cell_length_c 5.528
_cell_angle_alpha 90.00
_cell_angle_beta 90.00
_cell_angle_gamma 90.00
loop_
_atom_site_label
_atom_site_fract_x
_atom_site_fract_y
_atom_site_fract_z
Mg1 0.000 0.000 0.000
Hg1 0.000 0.500 0.000
Bi1 0.000 0.000 0.500
C1 0.500 0.500 0.500
# magnetic moment: 1.812 μB/cell
# E_tot: -44.4515 eV per atom

---

# Bi2TePb2 SCAN single point on PBEsol structure
data_Bi2TePb2
_chemical_formula_sum 'Bi4 Te2 Pb4'
_space_group_name_H-M_alt 'I 4/m m m'
_space_group_IT_number 139
_space_group_name_Hall '-I 4 2'
_cell_length_a 4.424
_cell_length_b 4.424
_cell_length_c 16.719
_cell_angle_alpha 90.00
_cell_angle_beta 90.00
_cell_angle_gamma 90.00
loop_
_atom_site_label
_atom_site_fract_x
_atom_site_fract_y
_atom_site_fract_z
Bi1 0.000 0.500 0.250
Te1 0.000 0.000 0.000
Pb1 0.000 0.000 0.405
# magnetic moment: 0.000 μB/cell
# formation energy without anion corrections: 0.0141 eV/atom
# E_tot: -69.1804 eV per atom

---

# KReP2C SCAN single point on PBEsol structure
data_KReP2C
_chemical_formula_sum 'K1 Re1 P2 C1'
_space_group_name_H-M_alt 'P 4/m m m'
_space_group_IT_number 123
_space_group_name_Hall '-P 4 2'
_cell_length_a 4.940
_cell_length_b 4.940
_cell_length_c 4.870
_cell_angle_alpha 90.00
_cell_angle_beta 90.00
_cell_angle_gamma 90.00
loop_
_atom_site_label
_atom_site_fract_x
_atom_site_fract_y
_atom_site_fract_z
K1 0.000 0.000 0.000
Re1 0.000 0.000 0.500
P1 0.000 0.500 0.000
C1 0.500 0.500 0.500
# magnetic moment: 2.498 μB/cell
# E_tot: -17.7388 eV per atom

---

# SbTeAs2 SCAN single point on PBEsol structure
data_SbTeAs2
_chemical_formula_sum 'Sb2 Te2 As4'
_space_group_name_H-M_alt 'I m m m'
_space_group_IT_number 71
_space_group_name_Hall '-I 2 2'
_cell_length_a 3.557
_cell_length_b 5.239
_cell_length_c 9.650
_cell_angle_alpha 90.00
_cell_angle_beta 90.00
_cell_angle_gamma 90.00
loop_
_atom_site_label
_atom_site_fract_x
_atom_site_fract_y
_atom_site_fract_z
Sb1 0.000 0.000 0.000
Te1 0.000 0.000 0.500
As1 0.000 0.500 0.252
# distance to the lowest polymorph of the same formula: 36.80 kJ/mol of atoms
# magnetic moment: 0.001 μB/cell
# formation energy without anion corrections: 0.4496 eV/atom
# E_tot: -28.2737 eV per atom

---

# La2ScCr SCAN single point on PBEsol structure
data_La2ScCr
_chemical_formula_sum 'La4 Sc2 Cr2'
_space_group_name_H-M_alt 'C 1 2/m 1'
_space_group_IT_number 12
_cell_length_a 6.375
_cell_length_b 10.699
_cell_length_c 3.318
_cell_angle_alpha 90.00
_cell_angle_beta 114.20
_cell_angle_gamma 90.00
loop_
_space_group_symop_operation_xyz
'x,y,z'
'-x,-y,-z'
'-x,y,-z'
'x,-y,z'
'x+1/2,y+1/2,z'
'-x+1/2,-y+1/2,-z'
'-x+1/2,y+1/2,-z'
'x+1/2,-y+1/2,z'
loop_
_atom_site_label
_atom_site_fract_x
_atom_site_fract_y
_atom_site_fract_z
La1 0.250 0.250 0.000
Sc1 0.000 0.000 0.500
Cr1 0.000 0.500 0.500
# distance to the lowest polymorph of the same formula: 16.73 kJ/mol of atoms
# magnetic moment: 6.979 μB/cell
# E_tot: -29.3850 eV per atom

---

# LaMgCo2 SCAN single point on PBEsol structure
data_LaMgCo2
_chemical_formula_sum 'La2 Mg2 Co4'
_space_group_name_H-M_alt 'A m m 2'
_space_group_IT_number 38
_cell_length_a 3.863
_cell_length_b 4.066
_cell_length_c 9.555
_cell_angle_alpha 90.00
_cell_angle_beta 90.00
_cell_angle_gamma 90.00
loop_
_space_group_symop_operation_xyz
'x,y,z'
'-x,-y,z'
'-x,y,z'
'x,-y,z'
'x,y+1/2,z+1/2'
'-x,-y+1/2,z+1/2'
'-x,y+1/2,z+1/2'
'x,-y+1/2,z+1/2'
loop_
_atom_site_label
_atom_site_fract_x
_atom_site_fract_y
_atom_site_fract_z
La1 0.000 0.000 0.000
Mg1 0.500 0.000 0.292
Co1 0.000 0.000 0.709
Co2 0.500 0.000 0.604
# magnetic moment: 3.971 μB/cell
# E_tot: -20.5713 eV per atom

---

# CrRuSe2 SCAN single point on PBEsol structure
data_CrRuSe2
_chemical_formula_sum 'Cr2 Ru2 Se4'
_space_group_name_H-M_alt 'I -4 m 2'
_space_group_IT_number 119
_space_group_name_Hall 'I -4 -2'
_cell_length_a 3.667
_cell_length_b 3.667
_cell_length_c 9.037
_cell_angle_alpha 90.00
_cell_angle_beta 90.00
_cell_angle_gamma 90.00
loop_
_atom_site_label
_atom_site_fract_x
_atom_site_fract_y
_atom_site_fract_z
Cr1 0.000 0.000 0.000
Ru1 0.000 0.500 0.250
Se1 0.000 0.000 0.500
Se2 0.000 0.500 0.750
# distance to the lowest polymorph of the same formula: 48.91 kJ/mol of atoms
# magnetic moment: 5.137 μB/cell
# formation energy without anion corrections: 0.2725 eV/atom
# E_tot: -23.0694 eV per atom

---

# YCdHg2 SCAN single point on PBEsol structure
data_YCdHg2
_chemical_formula_sum 'Y1 Cd1 Hg2'
_space_group_name_H-M_alt 'P 4/m m m'
_space_group_IT_number 123
_space_group_name_Hall '-P 4 2'
_cell_length_a 4.688
_cell_length_b 4.688
_cell_length_c 4.130
_cell_angle_alpha 90.00
_cell_angle_beta 90.00
_cell_angle_gamma 90.00
loop_
_atom_site_label
_atom_site_fract_x
_atom_site_fract_y
_atom_site_fract_z
Y1 0.000 0.000 0.000
Cd1 0.500 0.500 0.000
Hg1 0.000 0.500 0.500
# magnetic moment: 0.000 μB/cell
# E_tot: -49.1104 eV per atom

---

# TaHgRu2 SCAN single point on PBEsol structure
data_TaHgRu2
_chemical_formula_sum 'Ta1 Hg1 Ru2'
_space_group_name_H-M_alt 'P 4/m m m'
_space_group_IT_number 123
_space_group_name_Hall '-P 4 2'
_cell_length_a 4.162
_cell_length_b 4.162
_cell_length_c 3.583
_cell_angle_alpha 90.00
_cell_angle_beta 90.00
_cell_angle_gamma 90.00
loop_
_atom_site_label
_atom_site_fract_x
_atom_site_fract_y
_atom_site_fract_z
Ta1 0.000 0.000 0.000
Hg1 0.500 0.500 0.000
Ru1 0.000 0.500 0.500
# magnetic moment: 0.809 μB/cell
# E_tot: -51.0675 eV per atom